# 1
# GGA-PBE Tb2Sm3Dy6Th, optimized geometry
# - M_tot: 0.00 μB/f.u.
# - Total energy: -0.356 Ry/atom
# - Formation energy from the elements: 0.0208 eV per atom
data_Tb2Sm3Dy6Th
_cell_length_a 6.193
_cell_length_b 10.716
_cell_length_c 11.814
_cell_angle_alpha 90.00
_cell_angle_beta 100.05
_cell_angle_gamma 90.00
_symmetry_space_group_name_H-M 'C 1 2/m 1'
_symmetry_Int_Tables_number 12
loop_
_symmetry_equiv_pos_as_xyz
'x,y,z'
'-x,-y,-z'
'-x,y,-z'
'x,-y,z'
'x+1/2,y+1/2,z'
'-x+1/2,-y+1/2,-z'
'-x+1/2,y+1/2,-z'
'x+1/2,-y+1/2,z'
loop_
_atom_site_label
_atom_site_type_symbol
_atom_site_fract_x
_atom_site_fract_y
_atom_site_fract_z
Tb1 Tb 0.000 0.167 0.000
Sm1 Sm 0.000 0.000 0.500
Sm2 Sm 0.000 0.333 0.500
Dy1 Dy 0.247 0.500 0.752
Dy2 Dy 0.248 0.335 0.248
Th1 Th 0.000 0.500 0.000

# 2
# GGA-PBE ThSnPb2, optimized geometry
# - M_tot: 0.00 μB/f.u.
# - Total energy: -0.368 Ry/atom
# - Formation energy from the elements: -0.2960 eV per atom
data_ThSnPb2
_cell_length_a 4.823
_cell_length_b 4.823
_cell_length_c 4.931
_cell_angle_alpha 90.00
_cell_angle_beta 90.00
_cell_angle_gamma 90.00
_symmetry_space_group_name_H-M 'P 4/m m m'
_symmetry_Int_Tables_number 123
_symmetry_space_group_name_Hall '-P 4 2'
loop_
_atom_site_label
_atom_site_type_symbol
_atom_site_fract_x
_atom_site_fract_y
_atom_site_fract_z
Th1 Th 0.000 0.000 0.000
Sn1 Sn 0.500 0.500 0.000
Pb1 Pb 0.000 0.500 0.500

# 3
# GGA-PBE GdZnGa4, optimized geometry
# - M_tot: 7.45 μB/f.u.
# - Total energy: -0.351 Ry/atom
# - Formation energy from the elements: -0.1919 eV per atom
data_GdZnGa4
_cell_length_a 7.792
_cell_length_b 7.792
_cell_length_c 7.792
_cell_angle_alpha 90.00
_cell_angle_beta 90.00
_cell_angle_gamma 90.00
_symmetry_space_group_name_H-M 'F -4 3 m'
_symmetry_Int_Tables_number 216
_symmetry_space_group_name_Hall 'F -4 2 3'
loop_
_atom_site_label
_atom_site_type_symbol
_atom_site_fract_x
_atom_site_fract_y
_atom_site_fract_z
Gd1 Gd 0.000 0.000 0.000
Zn1 Zn 0.250 0.250 0.750
Ga1 Ga 0.125 0.125 0.375

# 4
# GGA-PBE Ce2Co3P4Ir, optimized geometry
# - M_tot: 0.61 μB/f.u.
# - Total energy: -0.545 Ry/atom
# - Formation energy from the elements: -1.0524 eV per atom
data_Ce2Co3P4Ir
_cell_length_a 4.011
_cell_length_b 4.011
_cell_length_c 9.200
_cell_angle_alpha 90.00
_cell_angle_beta 90.00
_cell_angle_gamma 90.00
_symmetry_space_group_name_H-M 'P -4 m 2'
_symmetry_Int_Tables_number 115
loop_
_symmetry_equiv_pos_as_xyz
'x,y,z'
'y,-x,-z'
'-x,-y,z'
'-y,x,-z'
'-x,y,z'
'-y,-x,-z'
'x,-y,z'
'y,x,-z'
loop_
_atom_site_label
_atom_site_type_symbol
_atom_site_fract_x
_atom_site_fract_y
_atom_site_fract_z
Ce1 Ce 0.000 0.500 0.240
Co1 Co 0.000 0.500 0.890
Co2 Co 0.500 0.500 0.500
P1 P 0.000 0.000 0.000
P2 P 0.000 0.500 0.642
P3 P 0.500 0.500 0.000
Ir1 Ir 0.000 0.000 0.500

# 5
# GGA-PBE CsHfN2, optimized geometry
# - M_tot: 0.00 μB/f.u.
# - Formation energy from raw total energies: 28.7 kcal/mol of atoms
# - Total energy: -0.413 Ry/atom
data_CsHfN2
_cell_length_a 6.233
_cell_length_b 6.233
_cell_length_c 6.233
_cell_angle_alpha 90.00
_cell_angle_beta 90.00
_cell_angle_gamma 90.00
_symmetry_space_group_name_H-M 'F m -3 m'
_symmetry_Int_Tables_number 225
_symmetry_space_group_name_Hall '-F 4 2 3'
loop_
_atom_site_label
_atom_site_type_symbol
_atom_site_fract_x
_atom_site_fract_y
_atom_site_fract_z
Cs1 Cs 0.000 0.000 0.000
Hf1 Hf 0.000 0.000 0.500
N1 N 0.250 0.250 0.250

# 6
# GGA-PBE LaTaTe2, optimized geometry
# - M_tot: 0.00 μB/f.u.
# - Formation energy from raw total energies: -12.4 kcal/mol of atoms
# - Total energy: -0.463 Ry/atom
data_LaTaTe2
_cell_length_a 3.794
_cell_length_b 3.988
_cell_length_c 14.319
_cell_angle_alpha 90.00
_cell_angle_beta 90.00
_cell_angle_gamma 90.00
_symmetry_space_group_name_H-M 'I m m 2'
_symmetry_Int_Tables_number 44
loop_
_symmetry_equiv_pos_as_xyz
'x,y,z'
'-x,-y,z'
'-x,y,z'
'x,-y,z'
'x+1/2,y+1/2,z+1/2'
'-x+1/2,-y+1/2,z+1/2'
'-x+1/2,y+1/2,z+1/2'
'x+1/2,-y+1/2,z+1/2'
loop_
_atom_site_label
_atom_site_type_symbol
_atom_site_fract_x
_atom_site_fract_y
_atom_site_fract_z
La1 La 0.000 0.000 0.000
Ta1 Ta 0.000 0.500 0.747
Te1 Te 0.000 0.000 0.392
Te2 Te 0.000 0.500 0.174

# 7
# GGA-PBE Dy2Ga5Pt3, optimized geometry
# - M_tot: 0.00 μB/f.u.
# - Total energy: -0.377 Ry/atom
# - Formation energy from the elements: -0.8862 eV per atom
data_Dy2Ga5Pt3
_cell_length_a 10.284
_cell_length_b 12.662
_cell_length_c 5.719
_cell_angle_alpha 90.00
_cell_angle_beta 90.00
_cell_angle_gamma 90.00
_symmetry_space_group_name_H-M 'I b a m'
_symmetry_Int_Tables_number 72
_symmetry_space_group_name_Hall '-I 2 2c'
loop_
_atom_site_label
_atom_site_type_symbol
_atom_site_fract_x
_atom_site_fract_y
_atom_site_fract_z
Dy1 Dy 0.223 0.141 0.000
Ga1 Ga 0.000 0.000 0.250
Ga2 Ga 0.000 0.290 0.250
Ga3 Ga 0.168 0.403 0.000
Pt1 Pt 0.000 0.500 0.250
Pt2 Pt 0.101 0.145 0.500

# 8
# GGA-PBE KCa3Cd, optimized geometry
# - M_tot: 0.00 μB/f.u.
# - Total energy: -0.054 Ry/atom
# - Formation energy from the elements: 0.8736 eV per atom
data_KCa3Cd
_cell_length_a 6.551
_cell_length_b 6.551
_cell_length_c 6.551
_cell_angle_alpha 90.00
_cell_angle_beta 90.00
_cell_angle_gamma 90.00
_symmetry_space_group_name_H-M 'P m -3 m'
_symmetry_Int_Tables_number 221
_symmetry_space_group_name_Hall '-P 4 2 3'
loop_
_atom_site_label
_atom_site_type_symbol
_atom_site_fract_x
_atom_site_fract_y
_atom_site_fract_z
K1 K 0.000 0.000 0.000
Ca1 Ca 0.000 0.000 0.500
Cd1 Cd 0.500 0.500 0.500

Repeat the second record exactly.
# GGA-PBE ThSnPb2, optimized geometry
# - M_tot: 0.00 μB/f.u.
# - Total energy: -0.368 Ry/atom
# - Formation energy from the elements: -0.2960 eV per atom
data_ThSnPb2
_cell_length_a 4.823
_cell_length_b 4.823
_cell_length_c 4.931
_cell_angle_alpha 90.00
_cell_angle_beta 90.00
_cell_angle_gamma 90.00
_symmetry_space_group_name_H-M 'P 4/m m m'
_symmetry_Int_Tables_number 123
_symmetry_space_group_name_Hall '-P 4 2'
loop_
_atom_site_label
_atom_site_type_symbol
_atom_site_fract_x
_atom_site_fract_y
_atom_site_fract_z
Th1 Th 0.000 0.000 0.000
Sn1 Sn 0.500 0.500 0.000
Pb1 Pb 0.000 0.500 0.500